# 1
A relaxed structure of CrNi2, computed with PBEsol.

## Properties
Spin magnetization: 0.00 μB per formula unit
Space group: No. 8
Energy of formation from the pure elements: 47 meV/atom

abc: 2.4247 4.7442 5.8808
angles: 104.42 90.00 104.81
With the nearest neighbours (Å) after each atom.
Fractional positions:
Ni (0.0562, 0.1124, 0.6110)  9 Ni 2.42-2.48, 3 Cr 2.47
Ni (0.3915, 0.7830, 0.2807)  7 Ni 2.42-2.48, 5 Cr 2.45-2.47
Ni (0.3320, 0.6640, 0.6660)  8 Ni 2.42-2.48, 4 Cr 2.46-2.47
Ni (0.7225, 0.4451, 0.9479)  8 Ni 2.42-2.48, 4 Cr 2.43-2.48
Cr (0.6671, 0.3341, 0.3303)  4 Cr 2.42-2.48, 8 Ni 2.43-2.47
Cr (0.9974, 0.9947, 0.9974)  4 Cr 2.42-2.48, 8 Ni 2.45-2.48


# 2
A relaxed structure of Fe2ReSe, computed with PBEsol.

## Properties
Formation energy without anion corrections: 1.51 eV/f.u.
Spin magnetization: 0.82 μB per formula unit
Space group: No. 44

abc: 2.8894 4.0949 4.9211
angles: 114.59 107.07 90.00
With the nearest neighbours (Å) after each atom.
Fractional positions:
Re (0.5208, 0.5208, 0.0416)  2 Se 2.48, 6 Fe 2.55-2.70
Fe (0.9682, 0.9682, 0.9364)  2 Se 2.28, 4 Re 2.55
Fe (0.7516, 0.2516, 0.5032)  4 Se 2.51, 2 Re 2.70, 4 Fe 2.75-2.80
Se (0.2594, 0.7594, 0.5188)  6 Fe 2.28-2.51, 2 Re 2.48


# 3
A relaxed structure of TlSb2Ir, computed with PBEsol.

## Properties
Formation energy without anion corrections: 0.23 eV/f.u.
Spin magnetization: 0.00 μB per formula unit
Space group: No. 8
Distance to the lowest polymorph of the same formula: 42.5 meV/atom

abc: 3.6123 4.7825 6.6134
angles: 107.17 90.00 112.19
With the nearest neighbours (Å) after each atom.
Fractional positions:
Tl (0.4320, 0.8639, 0.4870)  6 Sb 3.10-3.41, 2 Ir 3.17
Sb (0.0785, 0.1569, 0.1545)  3 Ir 2.60-2.64
Sb (0.2178, 0.4357, 0.7776)  2 Ir 2.63
Ir (0.7718, 0.5435, 0.0809)  5 Sb 2.60-2.64


# 4
A relaxed structure of RbGeAu3, computed with PBEsol.

## Properties
Spin magnetization: 0.00 μB per formula unit
Space group: No. 221
Energy of formation from the pure elements: -52 meV/atom

abc: 4.9840 4.9840 4.9840
angles: 90.00 90.00 90.00
With the nearest neighbours (Å) after each atom.
Fractional positions:
Au (0.0000, 0.0000, 0.5000)  2 Ge 2.49
Au (0.0000, 0.5000, 0.0000)  2 Ge 2.49
Au (0.5000, 0.0000, 0.0000)  2 Ge 2.49
Ge (0.0000, 0.0000, 0.0000)  6 Au 2.49
Rb (0.5000, 0.5000, 0.5000)  12 Au 3.52